1.
A relaxed TmSc2Sb crystal, computed with PBE.

Calculated values
V: 26.79 Å³/atom
Total moment: 5.41 Bohr magnetons per cell
ΔE_f (raw): 0.04 eV per atom
DOS(E_F): 16.9 states/eV per cell
Density: 5.90 g/cm3
Space-group type: R-3m (166)

Lattice parameters (Å, degrees): 3.347 3.347 33.148 90.00 90.00 120.00
Fractional positions:
Tm  0.000  0.000  0.000
Tm  0.333  0.667  0.667
Tm  0.667  0.333  0.333
Sc  0.000  0.000  0.096
Sc  0.000  0.000  0.904
Sc  0.333  0.667  0.571
Sc  0.333  0.667  0.763
Sc  0.667  0.333  0.237
Sc  0.667  0.333  0.429
Sb  0.000  0.000  0.500
Sb  0.333  0.667  0.167
Sb  0.667  0.333  0.833

***

2.
A relaxed TmSc5Sb6 crystal, computed with PBE.

Calculated values
V: 26.09 Å³/atom
Total moment: 0.00 Bohr magnetons per cell
ΔE_f (raw): -0.96 eV per atom
DOS(E_F): 2.5 states/eV per cell
Density: 5.96 g/cm3
Space-group type: C2/m (12)

Lattice parameters (Å, degrees): 7.265 7.265 7.268 99.61 99.61 120.03
Fractional positions:
Tm  0.000  0.000  0.000
Sc  0.164  0.836  0.500
Sc  0.332  0.668  0.000
Sc  0.500  0.500  0.500
Sc  0.668  0.332  0.000
Sc  0.836  0.164  0.500
Sb  0.085  0.425  0.255
Sb  0.257  0.257  0.748
Sb  0.425  0.085  0.255
Sb  0.575  0.915  0.745
Sb  0.743  0.743  0.252
Sb  0.915  0.575  0.745

***

3.
A relaxed Tm4ScSb5 crystal, computed with PBE.

Calculated values
V: 28.23 Å³/atom
Total moment: 0.00 Bohr magnetons per cell
ΔE_f (raw): -1.03 eV per atom
DOS(E_F): 1.3 states/eV per cell
Density: 7.82 g/cm3
Space-group type: I4/mmm (139)

Lattice parameters (Å, degrees): 15.510 15.510 15.510 164.03 164.03 22.66
Fractional positions:
Tm  0.099  0.099  0.000
Tm  0.301  0.301  0.000
Tm  0.699  0.699  0.000
Tm  0.901  0.901  0.000
Sc  0.500  0.500  0.000
Sb  0.000  0.000  0.000
Sb  0.200  0.200  0.000
Sb  0.402  0.402  0.000
Sb  0.598  0.598  0.000
Sb  0.800  0.800  0.000

***

4.
A relaxed TmScSb crystal, computed with PBE.

Calculated values
V: 25.02 Å³/atom
Total moment: 2.05 Bohr magnetons per cell
ΔE_f (raw): -0.59 eV per atom
DOS(E_F): 3.6 states/eV per cell
Density: 7.43 g/cm3
Space-group type: I4mm (107)

Lattice parameters (Å, degrees): 3.837 3.837 10.198 90.00 90.00 90.00
Fractional positions:
Tm  0.000  0.000  0.000
Tm  0.500  0.500  0.500
Sc  0.000  0.000  0.314
Sc  0.500  0.500  0.814
Sb  0.000  0.000  0.671
Sb  0.500  0.500  0.171

***

| no. | electronic total energy (eV/atom) |
| --- | --- |
| 1 | -5.2737 |
| 2 | -6.0276 |
| 3 | -5.5175 |
| 4 | -5.5619 |